The following is a DFT calculation (PBE) of crystalline Li8InAg2 at its relaxed geometry.

Results
Final energy ... -2.340 eV/atom
ρ ... 3336 kg/m³
Relative energy among the computed polymorphs ... 0.0 meV per atom

```
Li8InAg2
1.0
4.2639 0.0000 -1.2257
-0.5342 5.6794 -1.8583
-0.1120 0.9280 7.6398
Li In Ag
8 1 2
Direct
0.5990 0.4692 0.1979
0.3149 0.0883 0.6299
0.1390 0.1983 0.2779
0.0512 0.7432 0.1024
0.8610 0.8017 0.7221
0.6851 0.9117 0.3701
0.4010 0.5308 0.8021
0.9488 0.2568 0.8976
0.5000 0.0000 0.0000
0.2275 0.6431 0.4550
0.7725 0.3569 0.5450
```


The following is a DFT calculation (PBE) of crystalline TaFeCuRu at its relaxed geometry.

Results
Final energy ... -8.426 eV/atom
ρ ... 11970 kg/m³

```
TaFeCuRu
1.0
4.2863 0.0000 0.0000
2.1431 3.7120 0.0000
2.1431 1.2373 3.4997
Ru Fe Cu Ta
1 1 1 1
Direct
0.2500 0.2500 0.2500
0.7500 0.7500 0.7500
0.0000 0.0000 0.0000
0.5000 0.5000 0.5000
```


The following is a DFT calculation (PBE) of crystalline Ce2HoSe2S2 at its relaxed geometry.

Results
Formation energy (no corrections) ... -1666.6 meV per atom
Final energy ... -6.191 eV/atom
ρ ... 5724 kg/m³

```
Ce2HoSe2S2
1.0
5.0834 0.0000 0.0000
0.0000 5.0834 0.0000
-2.5417 -2.5417 7.4901
Ce Ho Se S
2 1 2 2
Direct
0.3773 0.3773 0.7546
0.6227 0.6227 0.2454
0.0000 0.0000 0.0000
0.1855 0.1855 0.3711
0.8145 0.8145 0.6289
0.0000 0.5000 0.0000
0.5000 0.0000 0.0000
```


The lowest final energy belongs to which entry? TaFeCuRu